A relaxed structure of Nd7In2Bi2, computed with GGA-PBE.

As for the energy of formation from the pure elements: -0.192 eV per atom.

It has space group Cmmm (No. 65), with a = 9.5506 Å, b = 11.5718 Å, c = 7.2120 Å, α = 90.00°, β = 90.00° and γ = 90.00°. The distinct sites, in fractional coordinates, are Nd at (0.0000, 0.0000, 0.0000), Nd at (0.0000, 0.5000, 0.2561), Nd at (0.2500, 0.2500, 0.2755), In at (0.0000, 0.2740, 0.0000) and Bi at (0.1901, 0.0000, 0.5000).

A relaxed structure of VReIr2, computed with GGA-PBE.

As for the energy of formation from the pure elements: -0.368 eV per atom.

It has space group P4/mmm (No. 123), with a = 3.8481 Å, b = 3.8481 Å, c = 3.8571 Å, α = 90.00°, β = 90.00° and γ = 90.00°. The distinct sites, in fractional coordinates, are V at (0.0000, 0.0000, 0.0000), Re at (0.5000, 0.5000, 0.0000) and Ir at (0.0000, 0.5000, 0.5000).

A relaxed structure of AlGe2Sb2, computed with GGA-PBE.

Its uncorrected formation energy is 1.60 eV/f.u.

It has space group P4/mbm (No. 127), with a = 7.8001 Å, b = 7.8001 Å, c = 3.8144 Å, α = 90.00°, β = 90.00° and γ = 90.00°. The distinct sites, in fractional coordinates, are Al at (0.0000, 0.0000, 0.0000), Ge at (0.1450, 0.3550, 0.0000) and Sb at (0.1615, 0.6615, 0.5000).

A relaxed structure of Co2AgMo, computed with GGA-PBE.

As for the energy of formation from the pure elements: 0.361 eV per atom.

It has space group R3m (No. 160, hexagonal axes), with a = 2.6968 Å, b = 2.6968 Å, c = 26.6783 Å, α = 90.00°, β = 90.00° and γ = 120.00°. The distinct sites, in fractional coordinates, are Co at (0.0000, 0.0000, 0.0000), Co at (0.0000, 0.0000, 0.2628), Ag at (0.0000, 0.0000, 0.5092) and Mo at (0.0000, 0.0000, 0.7462).

A relaxed structure of MgBTe, computed with GGA-PBE.

Its uncorrected formation energy is -0.34 eV/f.u.

It has space group Cm (No. 8), with a = 22.9330 Å, b = 3.9397 Å, c = 3.1567 Å, α = 90.00°, β = 97.89° and γ = 90.00°. The distinct sites, in fractional coordinates, are Mg at (0.0000, 0.0000, 0.0000), Mg at (0.1572, 0.5000, 0.1797), B at (0.0562, 0.5000, 0.3083), B at (0.0568, 0.5000, 0.8210), Te at (0.2252, 0.0000, 0.7440) and Te at (0.3945, 0.5000, 0.3967).

A relaxed structure of CeNd2Zn3, computed with GGA-PBE.

As for the energy of formation from the pure elements: -0.259 eV per atom.

It has space group P4/mmm (No. 123), with a = 3.6536 Å, b = 3.6536 Å, c = 11.0752 Å, α = 90.00°, β = 90.00° and γ = 90.00°. The distinct sites, in fractional coordinates, are Ce at (0.0000, 0.0000, 0.0000), Nd at (0.0000, 0.0000, 0.3316), Zn at (0.5000, 0.5000, 0.1632) and Zn at (0.5000, 0.5000, 0.5000).

A relaxed structure of Pm3SmAu3, computed with GGA-PBE.

As for the energy of formation from the pure elements: -0.598 eV per atom.

It has space group C2/m (No. 12), with a = 9.7428 Å, b = 10.9672 Å, c = 7.3649 Å, α = 90.00°, β = 91.23° and γ = 90.00°. The distinct sites, in fractional coordinates, are Pm at (0.0000, 0.1778, 0.0000), Pm at (0.0000, 0.2538, 0.5000), Pm at (0.1445, 0.5000, 0.8630), Sm at (0.2434, 0.5000, 0.3677), Au at (0.0669, 0.0000, 0.3107) and Au at (0.2426, 0.2519, 0.2268).

A relaxed structure of AcPmCu, computed with GGA-PBE.

As for the energy of formation from the pure elements: 0.142 eV per atom.

It has space group Immm (No. 71), with a = 3.7402 Å, b = 6.7971 Å, c = 15.6244 Å, α = 90.00°, β = 90.00° and γ = 90.00°. The distinct sites, in fractional coordinates, are Ac at (0.0000, 0.0000, 0.1390), Pm at (0.0000, 0.0000, 0.3769) and Cu at (0.0000, 0.3162, 0.0000).

Number 1: VASP energy -97.5 eV/cell, calculated density 6906 kg/m3. Number 2: VASP energy -40.8 eV/cell, calculated density 18072 kg/m3. Number 3: VASP energy -39.2 eV/cell, calculated density 5950 kg/m3. Number 4: VASP energy -79.3 eV/cell, calculated density 9537 kg/m3. Number 5: VASP energy -47.0 eV/cell, calculated density 3826 kg/m3. Number 6: VASP energy -20.8 eV/cell, calculated density 7018 kg/m3. Number 7: VASP energy -132.0 eV/cell, calculated density 9930 kg/m3. Number 8: VASP energy -50.1 eV/cell, calculated density 7283 kg/m3.